The following is a DFT calculation (GGA-PBE) of PaGaAu2 after structural relaxation.

- Energy of formation from the pure elements: -259 meV per atom
- Symmetry: No. 123

Cell and atoms, written as extended XYZ:
```
4
Lattice="3.3094 0.0000 0.0000 0.0000 3.3094 0.0000 0.0000 0.0000 7.4078" Properties=species:S:1:pos:R:3 pbc="T T T"
Au 0.0000 0.0000 1.6788
Au 0.0000 0.0000 5.7290
Ga 1.6547 1.6547 0.0000
Pa 1.6547 1.6547 3.7039
```

***

The following is a DFT calculation (GGA-PBE) of CdCoRh2 after structural relaxation.

- Energy of formation from the pure elements: 159 meV per atom
- Symmetry: No. 139
- Energy above the lowest structure with this stoichiometry: 131 meV/atom

Cell and atoms, written as extended XYZ:
```
4
Lattice="4.7064 -0.0004 0.0000 1.3395 4.5117 0.0000 -3.0229 -2.2557 2.8149" Properties=species:S:1:pos:R:3 pbc="T T T"
Rh 3.0229 2.2557 0.0000
Rh 0.0000 0.0000 0.0000
Cd 0.6697 2.2559 1.4075
Co 2.3532 -0.0002 1.4075
```

***

The following is a DFT calculation (GGA-PBE) of ZrHgSe2 after structural relaxation.

- Formation energy (no corrections): -19.61 kcal/mol of atoms
- Symmetry: No. 63
- Energy above the lowest structure with this stoichiometry: 141 meV/atom

Cell and atoms, written as extended XYZ:
```
8
Lattice="-14.5252 -2.4149 1.2703 14.2445 0.0737 -3.9389 0.7189 -2.9858 2.5439" Properties=species:S:1:pos:R:3 pbc="T T T"
Se -10.9653 -2.8690 1.2943
Se -7.7690 -4.1165 2.0526
Se 8.2072 -1.2105 -2.1772
Se 11.4035 -2.4580 -1.4189
Hg 13.3120 -0.7690 -3.1015
Hg -12.8738 -4.5580 2.9769
Zr 5.3345 -1.4590 -1.6571
Zr -4.8962 -3.8680 1.5324
```

***

The following is a DFT calculation (GGA-PBE) of TaTcMo after structural relaxation.

- Energy of formation from the pure elements: -125 meV per atom
- Symmetry: No. 156
- Energy above the lowest structure with this stoichiometry: 141 meV/atom

Cell and atoms, written as extended XYZ:
```
3
Lattice="4.4597 0.0000 0.0000 -2.2299 3.8622 0.0000 0.0000 0.0000 2.8071" Properties=species:S:1:pos:R:3 pbc="T T T"
Mo 0.0000 0.0000 2.7894
Ta 2.2299 1.2874 0.9436
Tc 0.0000 2.5748 1.8813
```